A relaxed structure of CaVH, computed with GGA-PBE.

The structure in CIF format:
```
data_CaVH
_cell_length_a 3.099
_cell_length_b 4.077
_cell_length_c 8.502
_cell_angle_alpha 82.73
_cell_angle_beta 82.10
_cell_angle_gamma 73.76
_space_group_name_H-M_alt 'P 1'
_space_group_IT_number 1
loop_
_space_group_symop_operation_xyz
'x,y,z'
loop_
_atom_site_label
_atom_site_fract_x
_atom_site_fract_y
_atom_site_fract_z
_atom_site_occupancy
Ca1 0.000 0.000 0.000 1
Ca2 0.010 0.602 0.388 1
V1 0.324 0.528 0.731 1
V2 0.699 0.078 0.656 1
H1 0.320 0.881 0.559 1
H2 0.496 0.818 0.199 1
```

Results
**Mass density**: 3.00 g/cm3
**Calculated total energy**: -14.10 eV/f.u.
**Energy above the lowest structure with this stoichiometry**: 0.214 eV per atom

A relaxed structure of Mn2CrGa3S8, computed with GGA-PBE.

The structure in CIF format:
```
data_Mn2CrGa3S8
_cell_length_a 25.578
_cell_length_b 3.683
_cell_length_c 6.488
_cell_angle_alpha 90.00
_cell_angle_beta 94.86
_cell_angle_gamma 90.00
_space_group_name_H-M_alt 'C 1 m 1'
_space_group_IT_number 8
loop_
_space_group_symop_operation_xyz
'x,y,z'
'x,-y,z'
'x+1/2,y+1/2,z'
'x+1/2,-y+1/2,z'
loop_
_atom_site_label
_atom_site_fract_x
_atom_site_fract_y
_atom_site_fract_z
_atom_site_occupancy
Mn1 0.000 0.000 0.000 1
Mn2 0.002 0.500 0.502 1
Cr1 0.212 0.500 0.224 1
Ga1 0.212 0.000 0.730 1
Ga2 0.356 0.000 0.122 1
Ga3 0.356 0.500 0.613 1
S1 0.035 0.500 0.181 1
S2 0.036 0.000 0.683 1
S3 0.178 0.500 0.553 1
S4 0.179 0.000 0.048 1
S5 0.303 0.000 0.766 1
S6 0.304 0.500 0.268 1
S7 0.405 0.500 0.965 1
S8 0.407 0.000 0.469 1
```

Results
**Mass density**: 3.42 g/cm3
**Formation energy without anion corrections**: -7.11 eV per formula unit
**Calculated total energy**: -77.17 eV/f.u.

A relaxed structure of SiAg2PbO4, computed with GGA-PBE.

The structure in CIF format:
```
data_SiAg2PbO4
_cell_length_a 6.471
_cell_length_b 7.652
_cell_length_c 9.950
_cell_angle_alpha 90.00
_cell_angle_beta 90.00
_cell_angle_gamma 90.00
_space_group_name_H-M_alt 'F m m 2'
_space_group_IT_number 42
_space_group_name_Hall 'F 2 -2'
loop_
_atom_site_label
_atom_site_fract_x
_atom_site_fract_y
_atom_site_fract_z
_atom_site_occupancy
Si1 0.000 0.000 0.000 1
Ag1 0.250 0.250 0.265 1
Pb1 0.000 0.000 0.552 1
O1 0.000 0.178 0.093 1
O2 0.212 0.000 0.903 1
```

Results
**Mass density**: 6.94 g/cm3
**Formation energy without anion corrections**: -10.53 eV per formula unit
**Calculated total energy**: -45.20 eV/f.u.

A relaxed structure of CeSn4Pd2, computed with GGA-PBE.

The structure in CIF format:
```
data_CeSn4Pd2
_cell_length_a 19.348
_cell_length_b 4.575
_cell_length_c 7.297
_cell_angle_alpha 90.00
_cell_angle_beta 90.00
_cell_angle_gamma 90.00
_space_group_name_H-M_alt 'P n m a'
_space_group_IT_number 62
loop_
_space_group_symop_operation_xyz
'x,y,z'
'-x,-y,-z'
'-x+1/2,-y,z+1/2'
'x+1/2,y,-z+1/2'
'x+1/2,-y+1/2,-z+1/2'
'-x+1/2,y+1/2,z+1/2'
'-x,y+1/2,-z'
'x,-y+1/2,z'
loop_
_atom_site_label
_atom_site_fract_x
_atom_site_fract_y
_atom_site_fract_z
_atom_site_occupancy
Ce1 0.139 0.250 0.012 1
Sn1 0.031 0.750 0.139 1
Sn2 0.067 0.250 0.514 1
Sn3 0.182 0.750 0.711 1
Sn4 0.197 0.750 0.284 1
Pd1 0.036 0.750 0.753 1
Pd2 0.211 0.250 0.488 1
```

Results
**Energy of formation**: -558.7 meV/atom
**Mass density**: 8.51 g/cm3
**Calculated total energy**: -36.24 eV/f.u.

A relaxed structure of Pr2InSi4Pt3, computed with GGA-PBE.

The structure in CIF format:
```
data_Pr2InSi4Pt3
_cell_length_a 4.294
_cell_length_b 4.294
_cell_length_c 10.281
_cell_angle_alpha 90.00
_cell_angle_beta 90.00
_cell_angle_gamma 90.00
_space_group_name_H-M_alt 'P -4 m 2'
_space_group_IT_number 115
loop_
_space_group_symop_operation_xyz
'x,y,z'
'y,-x,-z'
'-x,-y,z'
'-y,x,-z'
'-x,y,z'
'-y,-x,-z'
'x,-y,z'
'y,x,-z'
loop_
_atom_site_label
_atom_site_fract_x
_atom_site_fract_y
_atom_site_fract_z
_atom_site_occupancy
Pr1 0.000 0.500 0.238 1
In1 0.000 0.000 0.500 1
Si1 0.000 0.000 0.000 1
Si2 0.000 0.500 0.652 1
Si3 0.500 0.500 0.000 1
Pt1 0.000 0.500 0.886 1
Pt2 0.500 0.500 0.500 1
```

Results
**Mass density**: 9.58 g/cm3
**Formation energy without anion corrections**: -9.27 eV per formula unit
**Calculated total energy**: -61.38 eV/f.u.

A relaxed structure of CdCu2BSe4, computed with GGA-PBE.

The structure in CIF format:
```
data_CdCu2BSe4
_cell_length_a 5.640
_cell_length_b 5.640
_cell_length_c 10.473
_cell_angle_alpha 90.00
_cell_angle_beta 90.00
_cell_angle_gamma 90.00
_space_group_name_H-M_alt 'I -4 2 m'
_space_group_IT_number 121
_space_group_name_Hall 'I -4 2'
loop_
_atom_site_label
_atom_site_fract_x
_atom_site_fract_y
_atom_site_fract_z
_atom_site_occupancy
Cd1 0.000 0.000 0.000 1
Cu1 0.000 0.500 0.250 1
B1 0.000 0.000 0.500 1
Se1 0.206 0.206 0.376 1
```

Results
**Mass density**: 5.64 g/cm3
**Formation energy without anion corrections**: -1.91 eV per formula unit
**Calculated total energy**: -31.63 eV/f.u.

Repeat the first record exactly.
A relaxed structure of CaVH, computed with GGA-PBE.

The structure in CIF format:
```
data_CaVH
_cell_length_a 3.099
_cell_length_b 4.077
_cell_length_c 8.502
_cell_angle_alpha 82.73
_cell_angle_beta 82.10
_cell_angle_gamma 73.76
_space_group_name_H-M_alt 'P 1'
_space_group_IT_number 1
loop_
_space_group_symop_operation_xyz
'x,y,z'
loop_
_atom_site_label
_atom_site_fract_x
_atom_site_fract_y
_atom_site_fract_z
_atom_site_occupancy
Ca1 0.000 0.000 0.000 1
Ca2 0.010 0.602 0.388 1
V1 0.324 0.528 0.731 1
V2 0.699 0.078 0.656 1
H1 0.320 0.881 0.559 1
H2 0.496 0.818 0.199 1
```

Results
**Mass density**: 3.00 g/cm3
**Calculated total energy**: -14.10 eV/f.u.
**Energy above the lowest structure with this stoichiometry**: 0.214 eV per atom